Record 1
First-principles (PBE) data for a relaxed structure of RbLuTl2, as listed in Alexandria via LeMat-Bulk.

Output
Symmetry ... R-3m (166)
E_tot ... -2.548 eV per atom
Formation enthalpy at 0 K ... 0.01 eV/atom

Cell: 11.212 11.212 11.212 Å, 19.27 19.27 19.27°
Atoms (fractional coordinates):
Rb1 0.000 0.000 0.000
Lu1 0.500 0.500 0.500
Tl1 0.240 0.240 0.240
Tl2 0.760 0.760 0.760



Record 2
First-principles (PBE) data for a relaxed structure of RbLuTl2, as listed in Alexandria via LeMat-Bulk.

Output
Symmetry ... P4/mmm (123)
E_tot ... -2.700 eV per atom
Formation enthalpy at 0 K ... -0.14 eV/atom

Cell: 3.837 3.837 8.985 Å, 90.00 90.00 90.00°
Atoms (fractional coordinates):
Rb1 0.000 0.000 0.000
Lu1 0.000 0.000 0.500
Tl1 0.500 0.500 0.302
Tl2 0.500 0.500 0.698



Record 3
First-principles (PBE) data for a relaxed structure of LuRe6, as listed in Alexandria via LeMat-Bulk.

Output
Symmetry ... Im-3m (229)
E_tot ... -10.186 eV per atom
Formation enthalpy at 0 K ... 1.13 eV/atom

Cell: 5.961 5.961 5.961 Å, 109.47 109.47 109.47°
Atoms (fractional coordinates):
Lu1 0.000 0.000 0.000
Re1 0.250 0.500 0.750
Re2 0.250 0.750 0.500
Re3 0.500 0.250 0.750
Re4 0.500 0.750 0.250
Re5 0.750 0.250 0.500
Re6 0.750 0.500 0.250